No. 1
Computed, not measured: a relaxed ErBeNF6 crystal at the GGA-PBE level of DFT.

a = 6.7231 Å, b = 5.7664 Å, c = 7.6322 Å
α = 90.00°, β = 115.90°, γ = 90.00°
Closest atoms and distances in Å follow each position.
Space group P2_1/m (No. 11)
Unique sites:
Er 0.1137 0.2500 0.2201 (multiplicity 2)  6 F 2.14-2.38
Be 0.2750 0.7500 0.5590 (multiplicity 2)  4 F 1.55-1.57
N 0.4152 0.7500 0.1182 (multiplicity 2)  2 F 1.84
F 0.1580 0.7500 0.6948 (multiplicity 2)  1 Be 1.55
F 0.1818 0.5450 0.0306 (multiplicity 4)  1 N 1.84
F 0.2048 0.5315 0.4233 (multiplicity 4)  1 Be 1.57
F 0.4704 0.2500 0.3155 (multiplicity 2)  1 Be 1.55

Properties
For the formation energy (no corrections), the calculation gives -2.434 eV/atom. The total magnetic moment comes out at 2.0 μB per formula unit.



No. 2
Computed, not measured: a relaxed RbErBe2F8 crystal at the GGA-PBE level of DFT.

a = 8.6126 Å, b = 5.5161 Å, c = 8.4253 Å
α = 90.00°, β = 94.55°, γ = 90.00°
Closest atoms and distances in Å follow each position.
Space group C2/m (No. 12)
Unique sites:
Rb 0.0000 0.0000 0.0000 (multiplicity 2)  10 F 2.97-3.30
Er 0.0000 0.0000 0.5000 (multiplicity 2)  6 F 2.14-2.17
Be 0.1256 0.5000 0.2813 (multiplicity 4)  4 F 1.49-1.59
F 0.0239 0.2664 0.3137 (multiplicity 8)  1 Be 1.59
F 0.1847 0.5000 0.1197 (multiplicity 4)  1 Be 1.49
F 0.2441 0.0000 0.5735 (multiplicity 4)  1 Be 1.59

Properties
For the formation energy (no corrections), the calculation gives -3.506 eV/atom. The total magnetic moment comes out at 0.2 μB per formula unit.



No. 3
Computed, not measured: a relaxed ErBe5Fe7 crystal at the GGA-PBE level of DFT.

a = 4.5080 Å, b = 7.9045 Å, c = 7.9987 Å
α = 90.00°, β = 90.00°, γ = 90.00°
Closest atoms and distances in Å follow each position.
Space group Imm2 (No. 44)
Unique sites:
Er 0.0000 0.0000 0.0000 (multiplicity 2)  10 Fe 2.82-2.89, 10 Be 2.91-3.06
Be 0.0000 0.5000 0.7301 (multiplicity 2)  4 Be 2.26, 4 Fe 2.43-2.48
Be 0.2501 0.2466 0.2466 (multiplicity 8)  3 Be 2.25-2.26, 7 Fe 2.31-2.45
Fe 0.0000 0.0000 0.3593 (multiplicity 2)  3 Fe 2.26-2.48, 6 Be 2.43-2.48
Fe 0.0000 0.0000 0.6414 (multiplicity 2)  5 Fe 2.26-2.50, 4 Be 2.45
Fe 0.0000 0.2808 0.4964 (multiplicity 4)  5 Be 2.31-2.55, 5 Fe 2.48-2.50
Fe 0.0000 0.3566 0.9984 (multiplicity 4)  4 Fe 2.27-2.50, 5 Be 2.43-2.45
Fe 0.0000 0.5000 0.2742 (multiplicity 2)  4 Be 2.31, 6 Fe 2.48-2.49

Properties
The calculation puts the formation energy at -3.35 kcal/mol of atoms. The total magnetic moment comes out at 13.1 μB per formula unit.